Below is an optimized crystal structure of LiMgCd4Pd2, with properties calculated at the PBE level.

a = 4.0172 Å, b = 4.0172 Å, c = 10.8659 Å
α = 90.00°, β = 90.00°, γ = 90.00°
Last column: nearest neighbours and their distance in Å.
Atoms (fractional coordinates):
Li: 0.0000 0.0000 0.0000  8 Cd 2.98
Mg: 0.0000 0.0000 0.5000  8 Pd 3.12
Cd: 0.0000 0.5000 0.2027  2 Pd 2.79, 4 Cd 2.84, 2 Li 2.98
Cd: 0.0000 0.5000 0.7973  2 Pd 2.79, 4 Cd 2.84, 2 Li 2.98
Cd: 0.5000 0.0000 0.2027  2 Pd 2.79, 4 Cd 2.84, 2 Li 2.98
Cd: 0.5000 0.0000 0.7973  2 Pd 2.79, 4 Cd 2.84, 2 Li 2.98
Pd: 0.5000 0.5000 0.3813  1 Pd 2.58, 4 Cd 2.79
Pd: 0.5000 0.5000 0.6187  1 Pd 2.58, 4 Cd 2.79

Properties
**SG**: P4/mmm, No. 123
**Raw total energy**: -2.30 eV/atom
**Formation energy**: -107 meV/atom